[1]
VASP calculation (PBE) on TbNdSmGd after structural relaxation.

Structure (extended XYZ):
```
4
Lattice="-1.001 2.959 4.831 2.782 -1.375 4.844 4.031 3.526 2.102" Properties=species:S:1:pos:R:3 pbc="T T T"
Tb 0.000 0.000 0.000
Nd 1.453 1.278 2.944
Sm 2.906 2.555 5.889
Gd 4.359 3.833 8.833
```

Results
SG = No. 216
Total energy = -27.71 eV/cell
Energy of formation = 11.7 kJ/mol of atoms
Fermi-level density of states = 7.64 states/eV per cell



[2]
VASP calculation (PBE) on ZrUNb2 after structural relaxation.

Structure (extended XYZ):
```
4
Lattice="-1.613 0.927 4.480 2.412 -1.706 3.848 2.445 3.047 2.877" Properties=species:S:1:pos:R:3 pbc="T T T"
Zr 1.622 1.134 5.602
Nb 0.811 0.567 2.801
Nb 2.433 1.701 8.404
U 0.000 0.000 0.000
```

Results
SG = No. 225
Total energy = -39.27 eV/cell
Energy of formation = 17.0 kJ/mol of atoms
Energy relative to the lowest polymorph listed for this composition = 42 meV/atom
Fermi-level density of states = 6.06 states/eV per cell